No. 1
Below is a relaxed structure of CrCoTc4, with properties calculated at the GGA-PBE level.

Cell lengths 5.036, 5.036, 5.036 Å; angles 60.00, 60.00, 60.00 degrees
Each line ends with the local moment (μB).
Sites, in units of the cell vectors:
1 Tc 0.375 0.375 0.874  -0.20
2 Tc 0.874 0.375 0.375  -0.20
3 Cr 0.000 0.000 0.000  2.32
4 Co 0.750 0.750 0.750  1.52
5 Tc 0.375 0.375 0.375  -0.20
6 Tc 0.375 0.874 0.375  -0.20

Energy (eV/atom): -9.181
ΔH_f (0 K) (eV/atom): 0.52
Density (g/cm3): 9.25

No. 2
Below is a relaxed structure of Ti2NiN, with properties calculated at the GGA-PBE level.

Cell lengths 2.936, 2.936, 6.665 Å; angles 77.27, 77.27, 60.00 degrees
Sites, in units of the cell vectors:
1 N 0.000 0.000 0.000
2 Ni 0.500 0.500 0.500
3 Ti 0.729 0.729 0.814
4 Ti 0.271 0.271 0.186

Formation energy (no corrections) (eV/atom): -0.97
Energy (eV/atom): -8.441
Density (g/cm3): 5.81